VASP calculation (PBE) on crystalline Tb2PrAu at its relaxed geometry.

Cell: 6.714 7.045 10.096 Å, 90.00 90.00 90.00°
Positions (direct):
1 Pr 0.870 0.002 0.250
2 Tb 0.823 0.314 0.553
3 Au 0.074 0.393 0.250
4 Au 0.574 0.107 0.750
5 Tb 0.177 0.686 0.053
6 Tb 0.323 0.186 0.053
7 Pr 0.130 0.998 0.750
8 Pr 0.370 0.498 0.750
9 Tb 0.677 0.814 0.947
10 Tb 0.823 0.314 0.947
11 Tb 0.677 0.814 0.553
12 Pr 0.630 0.502 0.250
13 Tb 0.177 0.686 0.447
14 Au 0.426 0.893 0.250
15 Tb 0.323 0.186 0.447
16 Au 0.926 0.607 0.750

- E above lowest polymorph (meV/atom) = 0.0
- calculated volume (Å³/cell) = 478
- formation enthalpy at 0 K (meV per atom) = -419
- final energy (eV/atom) = -4.75
- size of the total moment (μB per cell) = 0.0

=====

VASP calculation (PBE) on crystalline PrTi4O8 at its relaxed geometry.

Cell: 5.925 5.925 6.744 Å, 63.94 63.94 60.00°
Site moments in Bohr magnetons follow the coordinates.
Positions (direct):
1 O 0.235 0.235 0.803  0.00
2 O 0.235 0.726 0.803  0.00
3 Ti 0.500 0.000 0.000  0.07
4 O 0.726 0.235 0.803  0.00
5 O 0.765 0.274 0.197  0.00
6 O 0.765 0.765 0.197  0.00
7 Ti 0.500 0.500 0.000  0.07
8 O 0.276 0.276 0.172  0.00
9 Ti 0.000 0.000 0.000  0.24
10 Pr 0.500 0.500 0.500  0.01
11 O 0.274 0.765 0.197  0.00
12 Ti 0.000 0.500 0.000  0.07
13 O 0.724 0.724 0.828  0.00

- calculated volume (Å³/cell) = 177
- final energy (eV/atom) = -8.81
- ΔE_f (raw) (eV per atom) = -2.965
- size of the total moment (μB per cell) = 0.5

=====

What is the formula in the first record?
Tb2PrAu